Record 1
Entry from Alexandria: a geometry-optimized NaZn6Au12 structure (PBE).

```
NaZn6Au12
1.0
-3.1548 -6.2410 2.6739
3.9280 2.9062 5.6725
-5.6317 4.7714 -1.2530
Na Zn Au
1 6 12
Direct
0.0000 0.0000 0.0000
0.6954 0.2876 0.2876
0.2876 0.2876 0.6954
0.2876 0.6954 0.2876
0.7124 0.7124 0.3046
0.3046 0.7124 0.7124
0.7124 0.3046 0.7124
0.8817 0.1183 0.5000
0.8714 0.6275 0.6275
0.6275 0.6275 0.8714
0.3725 0.1286 0.3725
0.3725 0.3725 0.1286
0.1286 0.3725 0.3725
0.1183 0.5000 0.8817
0.5000 0.8817 0.1183
0.1183 0.8817 0.5000
0.8817 0.5000 0.1183
0.5000 0.1183 0.8817
0.6275 0.8714 0.6275
```

V, Å³/f.u.: 359.4
Total magnetization, μB/cell: 0.00
Space group: R-3m (166)
DFT formation energy, eV/atom: -0.14


Record 2
Entry from Alexandria: a geometry-optimized NaZn2Au structure (PBE).

```
NaZn2Au
1.0
-0.4019 -0.4476 -4.4401
4.9881 -1.2263 1.9329
-1.9472 -6.5947 0.8410
Na Zn Au
2 4 2
Direct
0.9207 0.8414 0.2500
0.0793 0.1586 0.7500
0.3713 0.7427 0.5595
0.6287 0.2573 0.4405
0.6287 0.2573 0.0595
0.3713 0.7427 0.9405
0.2128 0.4255 0.2500
0.7872 0.5745 0.7500
```

V, Å³/f.u.: 77.8
Total magnetization, μB/cell: 0.00
Space group: Cmcm (63)
DFT formation energy, eV/atom: -0.21


Record 3
Entry from Alexandria: a geometry-optimized NaZnAu structure (PBE).

```
NaZnAu
1.0
4.2823 0.0000 0.0000
0.0000 7.8378 0.0000
0.0000 0.0000 7.4974
Na Zn Au
4 4 4
Direct
0.2500 0.8282 0.5114
0.7500 0.3282 0.9886
0.2500 0.6718 0.0114
0.7500 0.1718 0.4886
0.7500 0.5722 0.3522
0.7500 0.9278 0.8522
0.2500 0.0722 0.1478
0.2500 0.4278 0.6478
0.7500 0.8787 0.2088
0.7500 0.6213 0.7088
0.2500 0.1213 0.7912
0.2500 0.3787 0.2912
```

V, Å³/f.u.: 62.9
Total magnetization, μB/cell: 0.00
Space group: Pnma (62)
E above lowest polymorph, meV per atom: 0.0
DFT formation energy, eV/atom: -0.28


Record 4
Entry from Alexandria: a geometry-optimized NaZn2Au10 structure (PBE).

```
NaZn2Au10
1.0
-3.9317 2.8096 2.8062
-5.4378 2.0792 -4.1365
-5.1390 -4.3253 2.6943
Na Zn Au
1 2 10
Direct
0.0000 0.0000 0.0000
0.0000 0.5000 0.0000
0.5000 0.5000 0.0000
0.3415 0.6479 0.6691
0.6585 0.3521 0.3309
0.9894 0.3521 0.6691
0.0106 0.6479 0.3309
0.0000 0.0000 0.5000
0.5000 0.0000 0.5000
0.2817 0.2260 0.2107
0.7183 0.7740 0.7893
0.5076 0.7740 0.2107
0.4924 0.2260 0.7893
```

V, Å³/f.u.: 245.2
Total magnetization, μB/cell: 0.00
Space group: Fmmm (69)
DFT formation energy, eV/atom: -0.13


Record 5
Entry from Alexandria: a geometry-optimized NaZnAu structure (PBE).

```
NaZnAu
1.0
-0.9095 3.1399 3.2334
0.8295 -0.9471 4.4222
3.4485 2.1056 2.1944
Na Zn Au
1 1 1
Direct
0.0000 0.0000 0.0000
0.5000 0.5000 0.5000
0.2500 0.2500 0.2500
```

V, Å³/f.u.: 68.7
Total magnetization, μB/cell: 0.00
Space group: F-43m (216)
E above lowest polymorph, meV per atom: 155.3
DFT formation energy, eV/atom: -0.13


Record 6
Entry from Alexandria: a geometry-optimized Na12ZnAu6 structure (PBE).

```
Na12ZnAu6
1.0
-2.2946 -7.3141 -0.6068
2.5508 -1.6606 7.0615
-6.8356 1.6101 3.1322
Na Zn Au
12 1 6
Direct
0.5838 0.1870 0.4710
0.1870 0.4710 0.5838
0.4710 0.5838 0.1870
0.4162 0.8130 0.5290
0.8130 0.5290 0.4162
0.5290 0.4162 0.8130
0.9730 0.8548 0.6196
0.3804 0.0270 0.1452
0.1452 0.3804 0.0270
0.0270 0.1452 0.3804
0.6196 0.9730 0.8548
0.8548 0.6196 0.9730
0.0000 0.0000 0.0000
0.2558 0.1109 0.7506
0.8891 0.2494 0.7442
0.2494 0.7442 0.8891
0.7442 0.8891 0.2494
0.1109 0.7506 0.2558
0.7506 0.2558 0.1109
```

V, Å³/f.u.: 453.9
Total magnetization, μB/cell: 0.00
Space group: R-3 (148)
DFT formation energy, eV/atom: -0.22


Record 7
Entry from Alexandria: a geometry-optimized Na2Zn6Au structure (PBE).

```
Na2Zn6Au
1.0
5.2637 0.0000 0.0000
-2.6319 4.8337 0.4301
0.0000 -0.9816 6.4459
Na Zn Au
2 6 1
Direct
0.6674 0.3347 0.1018
0.3326 0.6653 0.8982
0.8253 0.1621 0.6707
0.8194 0.6388 0.6466
0.3368 0.1621 0.6707
0.1747 0.8379 0.3293
0.1806 0.3612 0.3534
0.6632 0.8379 0.3293
0.0000 0.0000 0.0000
```

V, Å³/f.u.: 166.2
Total magnetization, μB/cell: 0.00
Space group: C2/m (12)
DFT formation energy, eV/atom: -0.10


Record 8
Entry from Alexandria: a geometry-optimized NaZnAu3 structure (PBE).

```
NaZnAu3
1.0
4.9395 0.0000 0.0000
0.0000 4.9395 0.0000
0.0000 0.0000 4.9395
Na Zn Au
1 1 3
Direct
0.5000 0.5000 0.5000
0.0000 0.0000 0.0000
0.0000 0.5000 0.0000
0.0000 0.0000 0.5000
0.5000 0.0000 0.0000
```

V, Å³/f.u.: 120.5
Total magnetization, μB/cell: 0.00
Space group: Pm-3m (221)
E above lowest polymorph, meV per atom: 263.0
DFT formation energy, eV/atom: 0.02


Record 9
Entry from Alexandria: a geometry-optimized NaZn4Au4 structure (PBE).

```
NaZn4Au4
1.0
6.0993 0.0000 0.0000
0.0000 6.0993 0.0000
0.0000 0.0000 9.1411
Na Zn Au
2 8 8
Direct
0.0000 0.0000 0.0000
0.5000 0.5000 0.5000
0.2217 0.5000 0.9193
0.7783 0.5000 0.9193
0.5000 0.7783 0.0807
0.5000 0.2217 0.0807
0.0000 0.7217 0.4193
0.0000 0.2783 0.4193
0.2783 0.0000 0.5807
0.7217 0.0000 0.5807
0.5000 0.7695 0.7888
0.5000 0.2305 0.7888
0.7695 0.5000 0.2112
0.2305 0.5000 0.2112
0.2695 0.0000 0.2888
0.7305 0.0000 0.2888
0.0000 0.2695 0.7112
0.0000 0.7305 0.7112
```

V, Å³/f.u.: 170.0
Total magnetization, μB/cell: 0.00
Space group: P4_2/nmc (137)
DFT formation energy, eV/atom: -0.20


Record 10
Entry from Alexandria: a geometry-optimized Na2Zn5Au3 structure (PBE).

```
Na2Zn5Au3
1.0
-4.8449 1.7072 -2.4002
-1.8938 -7.5199 3.3917
0.0140 3.7757 7.5751
Na Zn Au
4 10 6
Direct
0.9448 0.6389 0.1435
0.4448 0.1435 0.6389
0.0552 0.3611 0.8565
0.5552 0.8565 0.3611
0.5743 0.2906 0.9982
0.0743 0.9982 0.2906
0.4257 0.7094 0.0018
0.9257 0.0018 0.7094
0.9965 0.7197 0.7918
0.0035 0.2803 0.2082
0.7500 0.4901 0.5099
0.2500 0.5099 0.4901
0.5035 0.2082 0.2803
0.4965 0.7918 0.7197
0.5741 0.4998 0.7833
0.0741 0.7833 0.4998
0.4259 0.5002 0.2167
0.9259 0.2167 0.5002
0.2500 0.9877 0.0123
0.7500 0.0123 0.9877
```

V, Å³/f.u.: 189.8
Total magnetization, μB/cell: 0.00
Space group: C2/c (15)
DFT formation energy, eV/atom: -0.20


Record 11
Entry from Alexandria: a geometry-optimized NaZnAu structure (PBE).

```
NaZnAu
1.0
3.5078 0.0000 0.0000
0.0000 3.5078 0.0000
-1.7539 -1.7539 5.2729
Na Zn Au
1 1 1
Direct
0.6130 0.6130 0.2259
0.3294 0.3294 0.6588
0.9076 0.9076 0.8152
```

V, Å³/f.u.: 64.9
Total magnetization, μB/cell: 0.00
Space group: I4mm (107)
E above lowest polymorph, meV per atom: 98.3
DFT formation energy, eV/atom: -0.19


Record 12
Entry from Alexandria: a geometry-optimized Na2Zn2Au structure (PBE).

```
Na2Zn2Au
1.0
3.9591 0.0000 0.0000
0.0000 3.9591 0.0000
1.9796 1.9796 6.9185
Na Zn Au
2 2 1
Direct
0.7500 0.2500 0.5000
0.2500 0.7500 0.5000
0.4121 0.4121 0.1758
0.5879 0.5879 0.8242
0.0000 0.0000 0.0000
```

V, Å³/f.u.: 108.4
Total magnetization, μB/cell: 0.00
Space group: I4/mmm (139)
E above lowest polymorph, meV per atom: 337.7
DFT formation energy, eV/atom: 0.20


What did the tenth record say?
Entry from Alexandria: a geometry-optimized Na2Zn5Au3 structure (PBE).

```
Na2Zn5Au3
1.0
-4.8449 1.7072 -2.4002
-1.8938 -7.5199 3.3917
0.0140 3.7757 7.5751
Na Zn Au
4 10 6
Direct
0.9448 0.6389 0.1435
0.4448 0.1435 0.6389
0.0552 0.3611 0.8565
0.5552 0.8565 0.3611
0.5743 0.2906 0.9982
0.0743 0.9982 0.2906
0.4257 0.7094 0.0018
0.9257 0.0018 0.7094
0.9965 0.7197 0.7918
0.0035 0.2803 0.2082
0.7500 0.4901 0.5099
0.2500 0.5099 0.4901
0.5035 0.2082 0.2803
0.4965 0.7918 0.7197
0.5741 0.4998 0.7833
0.0741 0.7833 0.4998
0.4259 0.5002 0.2167
0.9259 0.2167 0.5002
0.2500 0.9877 0.0123
0.7500 0.0123 0.9877
```

V, Å³/f.u.: 189.8
Total magnetization, μB/cell: 0.00
Space group: C2/c (15)
DFT formation energy, eV/atom: -0.20